1.
# HfMnBi2, optimized geometry, DFT GGA-PBE
# **Energy of formation from the pure elements**: 561 meV/atom
# **E above lowest polymorph**: 49.0 meV/atom
# **Crystal system**: cubic
data_HfMnBi2
_chemical_formula_sum 'Hf4 Mn4 Bi8'
_space_group_name_H-M_alt 'F m -3 m'
_space_group_IT_number 225
_space_group_name_Hall '-F 4 2 3'
_cell_length_a 7.0273
_cell_length_b 7.0273
_cell_length_c 7.0273
_cell_angle_alpha 90.00
_cell_angle_beta 90.00
_cell_angle_gamma 90.00
loop_
_atom_site_label
_atom_site_type_symbol
_atom_site_fract_x
_atom_site_fract_y
_atom_site_fract_z
_atom_site_occupancy
Hf1 Hf 0.0000 0.0000 0.0000 1
Mn1 Mn 0.0000 0.0000 0.5000 1
Bi1 Bi 0.2500 0.2500 0.2500 1


2.
# HfMn2Bi, optimized geometry, DFT GGA-PBE
# **Energy of formation from the pure elements**: 608 meV/atom
# **Crystal system**: tetragonal
data_HfMn2Bi
_chemical_formula_sum 'Hf4 Mn8 Bi4'
_space_group_name_H-M_alt 'I -4 2 d'
_space_group_IT_number 122
_space_group_name_Hall 'I -4 2bw'
_cell_length_a 7.5777
_cell_length_b 7.5777
_cell_length_c 5.7662
_cell_angle_alpha 90.00
_cell_angle_beta 90.00
_cell_angle_gamma 90.00
loop_
_atom_site_label
_atom_site_type_symbol
_atom_site_fract_x
_atom_site_fract_y
_atom_site_fract_z
_atom_site_occupancy
Hf1 Hf 0.0000 0.0000 0.0000 1
Mn1 Mn 0.2493 0.2500 0.1250 1
Bi1 Bi 0.0000 0.0000 0.5000 1


Number 1 is which compound? HfMnBi2